NpMn4P2 | the Alexandria database | PBE | relaxed; total DFT energy (no corrections) = -128.1 eV/cell; formation energy = -0.5175 eV/atom; symmetry = P4_2/mnm (136); DOS(E_F) = 12.61 states/eV/f.u.; magnetization = 5.96 μB per cell
1.0
3.6419 0.0000 0.0000
0.0000 7.0389 0.0000
0.0000 0.0000 7.0389
Mn Np P
8 2 4
Cartesian
0.0000 2.4428 0.5785
0.0000 0.5785 2.4428
0.0000 4.5961 6.4604
1.8210 2.9410 5.9622
1.8210 4.0979 1.0767
1.8210 5.9622 2.9410
1.8210 1.0767 4.0979
0.0000 6.4604 4.5961
1.8210 0.0000 0.0000
0.0000 3.5194 3.5194
1.8210 1.9879 1.9879
1.8210 5.0509 5.0509
0.0000 5.5074 1.5315
0.0000 1.5315 5.5074

=====

La2Pm6Dy3Mg | the Alexandria database | PBE | relaxed; total DFT energy (no corrections) = -53.6 eV/cell; formation energy = 0.0111 eV/atom; symmetry = C2/m (12); DOS(E_F) = 15.54 states/eV/f.u.; magnetization = 0.00 μB per cell
1.0
-4.9611 2.7356 2.6385
2.7597 -4.8535 2.8081
7.8688 8.0928 3.9091
Pm Dy La Mg
6 3 2 1
Cartesian
2.9464 5.6995 6.9839
0.1761 2.7768 2.3159
2.7210 0.2754 2.3718
0.3442 0.4641 5.0991
5.4912 3.1981 7.0399
5.3232 5.5108 4.2566
5.4122 0.4529 4.7345
2.8337 2.9874 4.6779
0.2552 5.5220 4.6212
-2.3909 0.2092 2.6949
0.1895 -2.3272 2.7516
0.0000 0.0000 0.0000